# 1
Material: MgTa2Hg
Method: DFT, GGA-PBEsol
State: relaxed Values from VASP.

Results
Magnetic moment ... 0.00 μB per formula unit
Energy relative to the elements ... 335 meV per atom
Total energy ... -6.511 eV/atom
E above lowest polymorph ... 0.199 eV/atom
Fermi-level density of states ... 0.69 states/eV/atom

Cell and atoms, written as Quantum ESPRESSO input:
```
&SYSTEM
  ibrav = 0, nat = 4, ntyp = 3
/
ATOMIC_SPECIES
Hg 200.59 Hg.upf
Mg 24.30 Mg.upf
Ta 180.95 Ta.upf
ATOMIC_POSITIONS crystal
Hg 0.500 0.500 0.500
Mg 0.500 0.500 0.000
Ta 0.000 0.000 0.253
Ta 0.000 0.000 0.747
CELL_PARAMETERS angstrom
-0.899 -1.584 2.166
-2.061 -0.760 -1.784
5.211 -7.072 -3.009
```

---

# 2
Material: MgTa2Hg
Method: DFT, GGA-PBEsol
State: relaxed Values from VASP.

Results
Magnetic moment ... 0.00 μB per formula unit
Energy relative to the elements ... 276 meV per atom
Total energy ... -6.571 eV/atom
E above lowest polymorph ... 0.140 eV/atom
Fermi-level density of states ... 0.78 states/eV/atom

Cell and atoms, written as Quantum ESPRESSO input:
```
&SYSTEM
  ibrav = 0, nat = 4, ntyp = 3
/
ATOMIC_SPECIES
Hg 200.59 Hg.upf
Mg 24.30 Mg.upf
Ta 180.95 Ta.upf
ATOMIC_POSITIONS crystal
Hg 0.500 0.500 0.000
Mg 0.500 0.500 0.500
Ta 0.000 0.000 0.745
Ta 0.000 0.000 0.255
CELL_PARAMETERS angstrom
2.877 0.000 0.000
0.000 4.572 0.000
0.000 0.000 5.537
```

---

# 3
Material: MgTaHg
Method: DFT, GGA-PBEsol
State: relaxed Values from VASP.

Results
Magnetic moment ... 0.00 μB per formula unit
Energy relative to the elements ... 1005 meV per atom
Total energy ... -3.940 eV/atom
Fermi-level density of states ... 0.83 states/eV/atom

Cell and atoms, written as Quantum ESPRESSO input:
```
&SYSTEM
  ibrav = 0, nat = 3, ntyp = 3
/
ATOMIC_SPECIES
Hg 200.59 Hg.upf
Mg 24.30 Mg.upf
Ta 180.95 Ta.upf
ATOMIC_POSITIONS crystal
Hg 0.000 0.000 0.000
Mg 0.500 0.500 0.500
Ta 0.250 0.250 0.250
CELL_PARAMETERS angstrom
4.582 0.000 0.000
2.291 3.969 0.000
2.291 1.323 3.742
```